Al2OsO2 (PBE, relaxed); spin magnetization = 0.295 μB/atom; DOS at the Fermi energy = 2.71 states/eV/f.u.; E_form (uncorrected) = -1.024 eV per atom; calculated volume = 11.92 Å³/atom
1.0
-2.786 0.855 1.551
0.444 -2.462 2.155
1.667 2.552 5.102
Al Os O
2 1 2
Cartesian
-0.235 0.304 2.925
-0.441 0.641 5.883
0.000 0.000 0.000
-1.145 1.302 4.253
0.470 -0.357 4.555

=====

HfB (PBE, relaxed); spin magnetization = 0.000 μB/atom; DOS at the Fermi energy = 2.48 states/eV/f.u.; calculated volume = 17.31 Å³/atom; raw total energy = -8.16 eV per atom
1.0
-3.044 -2.418 1.330
3.903 -1.240 0.331
0.275 2.008 4.282
Hf B
2 2
Cartesian
-0.659 -1.523 2.067
1.794 -0.126 3.875
1.656 -1.131 1.734
-0.522 -0.519 4.208

=====

VPt6Rh (PBE, relaxed); spin magnetization = 0.001 μB/atom; DOS at the Fermi energy = 10.94 states/eV/f.u.; calculated volume = 15.11 Å³/atom; raw total energy = -6.85 eV per atom
1.0
-3.335 0.223 2.061
0.660 -3.587 1.456
3.925 3.161 6.010
Pt V Rh
6 1 1
Cartesian
1.244 2.456 5.488
3.241 0.551 5.186
-0.654 0.928 2.582
-1.338 -1.682 1.758
0.625 -0.101 4.763
1.343 -0.977 2.280
1.963 1.580 3.005
0.000 0.000 0.000

=====

FeAuSe2N (PBE, relaxed); spin magnetization = 0.000 μB/atom; DOS at the Fermi energy = 4.74 states/eV/f.u.; E_form (uncorrected) = 0.399 eV per atom; calculated volume = 16.60 Å³/atom
1.0
-2.650 -1.994 3.687
3.947 -2.654 1.402
0.959 2.507 2.045
N Au Se Fe
1 1 2 1
Cartesian
0.480 1.254 1.023
1.129 -1.070 3.567
-1.325 -0.997 1.843
1.974 -1.327 0.701
0.000 0.000 0.000